Model one:
## MgTcRu (GGA-PBE)

Data for a relaxed MgTcRu crystal.

The structure in POSCAR format:
```
MgTcRu
1.0
2.811 0.000 0.000
-1.406 2.435 0.000
0.000 0.000 6.801
Mg Ru Tc
1 1 1
Direct
0.000 0.000 0.004 Mg
0.667 0.333 0.350 Ru
0.333 0.667 0.646 Tc
```

magnetic moment: 0.000 μB/atom
Fermi-level density of states: 2.97 states/eV per cell

---

Model two:
## MgTcRu (GGA-PBE)

Data for a relaxed MgTcRu crystal.

The structure in POSCAR format:
```
MgTcRu
1.0
-3.145 6.268 1.576
-4.357 5.381 -0.721
-1.416 -0.435 2.310
Mg Ru Tc
1 1 1
Direct
0.998 0.998 0.002 Mg
0.328 0.328 0.672 Ru
0.674 0.674 0.326 Tc
```

magnetic moment: 0.000 μB/atom
Fermi-level density of states: 2.30 states/eV per cell

---

Model three:
## MgTcRu (GGA-PBE)

Data for a relaxed MgTcRu crystal.

The structure in POSCAR format:
```
MgTcRu
1.0
4.197 0.000 0.000
0.000 4.154 -0.537
0.000 -1.416 5.389
Ru Tc Mg
2 2 2
Direct
0.250 0.922 0.344 Ru
0.750 0.078 0.656 Ru
0.250 0.569 0.638 Tc
0.750 0.431 0.362 Tc
0.250 0.250 0.999 Mg
0.750 0.750 0.001 Mg
```

magnetic moment: 0.000 μB/atom
Fermi-level density of states: 4.27 states/eV per cell

---

Model four:
## MgTcRu (GGA-PBE)

Data for a relaxed MgTcRu crystal.

The structure in POSCAR format:
```
MgTcRu
1.0
5.597 -0.011 0.000
4.043 3.870 0.000
-4.820 -1.930 2.090
Mg Ru Tc
1 1 1
Direct
0.997 0.997 0.000 Mg
0.325 0.325 0.000 Ru
0.678 0.678 0.000 Tc
```

magnetic moment: 0.000 μB/atom
Fermi-level density of states: 2.03 states/eV per cell

---

Q: Which of them is the most stable? A: model three.

---

Model one:
## MgTeRu2 (GGA-PBE)

Data for a relaxed MgTeRu2 crystal.

The structure in POSCAR format:
```
MgTeRu2
1.0
5.154 -0.001 0.000
2.246 4.638 0.000
-3.700 -2.319 2.737
Mg Ru Te
1 2 1
Direct
0.750 0.250 0.500 Mg
0.000 0.000 0.000 Ru
0.250 0.750 0.500 Ru
0.500 0.500 0.000 Te
```

magnetic moment: 0.000 μB/atom
Fermi-level density of states: 4.30 states/eV per cell

---

Model two:
## MgTeRu2 (GGA-PBE)

Data for a relaxed MgTeRu2 crystal.

The structure in POSCAR format:
```
MgTeRu2
1.0
-1.641 -2.330 1.031
1.651 -1.907 -1.680
5.140 -0.922 6.098
Mg Ru Te
1 2 1
Direct
0.500 0.500 0.803 Mg
0.000 0.000 0.023 Ru
0.500 0.500 0.213 Ru
0.000 0.000 0.462 Te
```

magnetic moment: 0.000 μB/atom
Fermi-level density of states: 4.95 states/eV per cell

---

Model three:
## MgTeRu2 (GGA-PBE)

Data for a relaxed MgTeRu2 crystal.

The structure in POSCAR format:
```
MgTeRu2
1.0
-7.853 2.502 -1.014
-8.284 -0.538 -0.214
-7.877 1.654 2.044
Mg Ru Te
1 2 1
Direct
0.750 0.750 0.750 Mg
0.995 0.995 0.995 Ru
0.505 0.505 0.505 Ru
0.250 0.250 0.250 Te
```

magnetic moment: 0.000 μB/atom
Fermi-level density of states: 5.05 states/eV per cell

---

Model four:
## MgTeRu2 (GGA-PBE)

Data for a relaxed MgTeRu2 crystal.

The structure in POSCAR format:
```
MgTeRu2
1.0
-2.516 -2.631 2.760
0.361 -2.408 3.866
-1.574 3.561 3.376
Mg Ru Te
1 2 1
Direct
0.250 0.250 0.250 Mg
0.004 0.004 0.985 Ru
0.496 0.496 0.515 Ru
0.750 0.750 0.750 Te
```

magnetic moment: 0.000 μB/atom
Fermi-level density of states: 2.04 states/eV per cell

---

Q: Which of them is the most stable? A: model four.

---

Model one:
## MgTeRu2 (GGA-PBE)

Data for a relaxed MgTeRu2 crystal.

The structure in POSCAR format:
```
MgTeRu2
1.0
-0.135 -1.665 3.773
-1.274 -2.530 -1.162
4.363 -3.409 -1.347
Mg Ru Te
1 2 1
Direct
0.500 0.750 0.750 Mg
0.000 0.120 0.009 Ru
0.000 0.380 0.491 Ru
0.500 0.250 0.250 Te
```

magnetic moment: 0.000 μB/atom
Fermi-level density of states: 2.66 states/eV per cell

---

Model two:
## MgTeRu2 (GGA-PBE)

Data for a relaxed MgTeRu2 crystal.

The structure in POSCAR format:
```
MgTeRu2
1.0
0.000 3.163 3.163
3.163 0.000 3.163
3.163 3.163 0.000
Ru Mg Te
2 1 1
Direct
0.250 0.250 0.250 Ru
0.750 0.750 0.750 Ru
0.000 0.000 0.000 Mg
0.500 0.500 0.500 Te
```

magnetic moment: 0.000 μB/atom
Fermi-level density of states: 0.41 states/eV per cell

---

Model three:
## MgTeRu2 (GGA-PBE)

Data for a relaxed MgTeRu2 crystal.

The structure in POSCAR format:
```
MgTeRu2
1.0
-1.702 -1.474 -2.343
-2.883 -1.478 3.024
-2.438 3.662 -0.534
Mg Ru Te
1 2 1
Direct
0.500 0.000 0.500 Mg
0.000 0.000 0.000 Ru
0.000 0.500 0.500 Ru
0.500 0.500 0.000 Te
```

magnetic moment: 0.000 μB/atom
Fermi-level density of states: 1.59 states/eV per cell

---

Q: Which of them is the most stable? A: model two.